The following is a DFT calculation (GGA+U) of a geometry-optimized Cr3InF9 structure.

abc: 7.5488 7.5488 3.9939
angles: 90.00 90.00 120.00
Space group P6/mmm (No. 191)
Unique sites:
1 Cr 0.0000 0.5000 0.0000 (multiplicity 3)
2 In 0.0000 0.0000 0.5000 (multiplicity 1)
3 F 0.0000 0.5000 0.5000 (multiplicity 3)
4 F 0.2027 0.4054 0.0000 (multiplicity 6)

Computed properties:
- E_tot (eV per cell) = -75.06
- volume (Å³/atom) = 15.16